Record 1
RbNaIn: relaxed, GGA-PBE.

The structure in extended XYZ format:
```
12
Lattice="8.7159 0.0000 0.0000 0.0000 9.2120 0.0000 -4.3403 0.0000 6.4710" Properties=species:S:1:pos:R:3 pbc="T T T"
Rb 0.0000 2.3074 0.0000
Rb 0.0000 6.9047 0.0000
Rb 4.3580 2.2986 0.0000
Rb 4.3580 6.9134 0.0000
Na -2.1702 1.6348 3.2355
Na -2.1702 7.5773 3.2355
Na 2.1878 2.9712 3.2355
Na 2.1878 6.2408 3.2355
In -0.7419 4.6060 3.2446
In 0.7596 0.0000 3.2264
In 3.6160 0.0000 3.2446
In 5.1176 4.6060 3.2264
```

- Energy relative to the elements: -0.027 eV per atom
- SG: C2/m (12)
- Polymorph energy (0 for the lowest one): 18.9 meV per atom
- Size of the total moment: 0.00 Bohr magnetons per cell
- Calculated volume: 519.6 Å³/cell

=====

Record 2
RbNaIn2: relaxed, GGA-PBE.

The structure in extended XYZ format:
```
16
Lattice="8.8831 0.0000 0.0000 0.0000 5.0256 0.0000 0.0000 0.0000 13.2670" Properties=species:S:1:pos:R:3 pbc="T T T"
Rb 2.0962 1.2564 2.5843
Rb 2.3453 3.7692 9.2178
Rb 6.5378 1.2564 4.0492
Rb 6.7868 3.7692 10.6827
Na 0.5288 3.7692 5.4380
Na 3.9128 1.2564 12.0715
Na 4.9703 3.7692 1.1955
Na 8.3543 1.2564 7.8290
In 0.5370 1.2564 11.8850
In 1.9082 3.7692 12.9594
In 2.5333 1.2564 6.3259
In 3.9045 3.7692 5.2515
In 4.9785 1.2564 8.0155
In 6.3498 3.7692 6.9410
In 6.9748 1.2564 0.3075
In 8.3461 3.7692 1.3820
```

- Energy relative to the elements: -0.083 eV per atom
- SG: Pnma (62)
- Polymorph energy (0 for the lowest one): 0.0 meV per atom
- Size of the total moment: 0.00 Bohr magnetons per cell
- Calculated volume: 592.3 Å³/cell

=====

Record 3
RbNa3In2: relaxed, GGA-PBE.

The structure in extended XYZ format:
```
12
Lattice="6.1711 -5.5817 0.0000 6.1711 5.5817 0.0000 0.0000 0.0000 6.5409" Properties=species:S:1:pos:R:3 pbc="T T T"
Rb 6.1711 4.0768 4.9057
Rb 6.1711 -4.0768 1.6352
Na 3.8413 2.8476 1.6352
Na 8.5009 2.8476 1.6352
Na 6.1711 0.1175 4.9057
Na 6.1711 -0.1175 1.6352
Na 3.8413 -2.8476 4.9057
Na 8.5009 -2.8476 4.9057
In 3.2686 0.0000 0.0000
In 3.2686 0.0000 3.2705
In 9.0736 0.0000 0.0000
In 9.0736 0.0000 3.2705
```

- Energy relative to the elements: -0.047 eV per atom
- SG: Cmcm (63)
- Size of the total moment: 0.00 Bohr magnetons per cell
- Calculated volume: 450.6 Å³/cell

=====

Record 4
Rb2Na2In: relaxed, GGA-PBE.

The structure in extended XYZ format:
```
10
Lattice="4.6243 0.0000 0.0000 0.0000 4.6243 0.0000 0.0000 0.0000 23.8546" Properties=species:S:1:pos:R:3 pbc="T T T"
Rb 0.0000 0.0000 2.2197
Rb 0.0000 0.0000 21.6349
Rb 2.3122 2.3122 9.7076
Rb 2.3122 2.3122 14.1470
Na 0.0000 2.3122 5.9637
Na 0.0000 2.3122 17.8910
Na 2.3122 0.0000 5.9637
Na 2.3122 0.0000 17.8910
In 0.0000 0.0000 11.9273
In 2.3122 2.3122 0.0000
```

- Energy relative to the elements: 0.120 eV per atom
- SG: I4/mmm (139)
- Polymorph energy (0 for the lowest one): 62.2 meV per atom
- Size of the total moment: 0.00 Bohr magnetons per cell
- Calculated volume: 510.1 Å³/cell

=====

Record 5
Rb2NaIn: relaxed, GGA-PBE.

The structure in extended XYZ format:
```
4
Lattice="6.0756 0.0000 0.0000 0.0000 6.0756 0.0000 0.0000 0.0000 5.3744" Properties=species:S:1:pos:R:3 pbc="T T T"
Rb 0.0000 3.0378 0.0000
Rb 3.0378 0.0000 0.0000
Na 0.0000 0.0000 2.6872
In 3.0378 3.0378 2.6872
```

- Energy relative to the elements: 0.092 eV per atom
- SG: P4/mmm (123)
- Size of the total moment: 0.00 Bohr magnetons per cell
- Calculated volume: 198.4 Å³/cell

=====

Record 6
RbNa4In: relaxed, GGA-PBE.

The structure in extended XYZ format:
```
12
Lattice="-3.3964 4.3145 8.5680 3.3964 -4.3145 8.5680 3.3964 4.3145 -8.5680" Properties=species:S:1:pos:R:3 pbc="T T T"
Rb 0.0000 0.0000 3.7549
Rb 0.0000 0.0000 13.3811
Na 3.3964 1.7806 -1.7236
Na 0.0000 1.7076 0.0000
Na 3.3964 1.7806 1.7236
Na 3.3964 0.0000 5.8747
Na 0.0000 4.3145 2.6933
Na 0.0000 2.5339 6.8444
Na 0.0000 6.9214 0.0000
Na 0.0000 2.5339 10.2915
In 1.9110 4.3145 0.0000
In 1.4854 0.0000 8.5680
```

- Energy relative to the elements: -0.001 eV per atom
- SG: Immm (71)
- Polymorph energy (0 for the lowest one): 0.0 meV per atom
- Size of the total moment: 0.00 Bohr magnetons per cell
- Calculated volume: 502.2 Å³/cell

=====

Record 7
RbNa7In5: relaxed, GGA-PBE.

The structure in extended XYZ format:
```
13
Lattice="-3.2677 5.5029 5.7149 3.2677 -5.5029 5.7149 3.2677 5.5029 -5.7149" Properties=species:S:1:pos:R:3 pbc="T T T"
Rb 0.0000 0.0000 0.0000
Na 3.2677 2.3188 0.0564
Na 3.2677 0.0000 2.7300
Na 0.0000 0.0000 3.9056
Na 0.0000 3.7758 0.1506
Na 0.0000 0.0000 7.5818
Na 0.0000 7.2301 0.1506
Na 0.0000 3.1841 5.7713
In 1.5954 2.6661 -2.7457
In 4.9400 2.6661 -2.7457
In -1.6723 2.8368 2.9692
In 1.6723 2.8368 2.9692
In 0.0000 5.5029 3.1412
```

- Energy relative to the elements: -0.092 eV per atom
- SG: Imm2 (44)
- Size of the total moment: 0.00 Bohr magnetons per cell
- Calculated volume: 411.1 Å³/cell

=====

Record 8
Rb2NaIn: relaxed, GGA-PBE.

The structure in extended XYZ format:
```
16
Lattice="14.3401 0.0000 0.0000 0.0000 5.1126 0.0000 -4.3526 0.0000 12.3692" Properties=species:S:1:pos:R:3 pbc="T T T"
Rb 0.0000 0.0000 0.0000
Rb -2.1551 0.0000 6.1753
Rb -1.0975 2.5563 10.0314
Rb 3.9206 0.0000 2.3208
Rb 7.1700 2.5563 0.0000
Rb 5.0149 2.5563 6.1753
Rb 6.0726 0.0000 10.0314
Rb 11.0906 2.5563 2.3208
Na 0.8382 2.5563 3.6362
Na 2.0093 0.0000 8.7429
Na 8.0083 0.0000 3.6362
Na 9.1793 2.5563 8.7429
In 1.1254 2.5563 6.8777
In 1.7439 0.0000 5.5005
In 8.2954 0.0000 6.8777
In 8.9139 2.5563 5.5005
```

- Energy relative to the elements: -0.013 eV per atom
- SG: Cm (8)
- Size of the total moment: 0.00 Bohr magnetons per cell
- Calculated volume: 906.9 Å³/cell

=====

Record 9
RbNa4In: relaxed, GGA-PBE.

The structure in extended XYZ format:
```
12
Lattice="8.1033 -4.7673 0.0000 8.1033 4.7673 0.0000 -1.1936 0.0000 6.2095" Properties=species:S:1:pos:R:3 pbc="T T T"
Rb 7.2080 3.0276 4.6571
Rb 7.8049 -3.0276 1.5524
Na 2.0743 0.9043 5.7805
Na 2.6711 -0.9043 2.6757
Na 5.8938 0.5756 1.7096
Na 5.2970 -0.5756 4.8144
Na 9.7159 0.5756 1.3951
Na 9.1191 -0.5756 4.4998
Na 12.3418 0.9043 3.5337
Na 12.9386 -0.9043 0.4290
In 3.4548 2.3836 3.1047
In 4.0516 -2.3836 0.0000
```

- Energy relative to the elements: 0.000 eV per atom
- SG: C2/c (15)
- Polymorph energy (0 for the lowest one): 1.4 meV per atom
- Size of the total moment: 0.00 Bohr magnetons per cell
- Calculated volume: 479.7 Å³/cell

=====

Record 10
RbNa4In: relaxed, GGA-PBE.

The structure in extended XYZ format:
```
6
Lattice="0.0000 4.8301 4.8301 4.8301 0.0000 4.8301 4.8301 4.8301 0.0000" Properties=species:S:1:pos:R:3 pbc="T T T"
Rb 0.0000 0.0000 0.0000
Na 3.6483 3.6483 3.6483
Na 6.0119 6.0119 3.6483
Na 6.0119 3.6483 6.0119
Na 3.6483 6.0119 6.0119
In 7.2452 7.2452 7.2452
```

- Energy relative to the elements: 0.066 eV per atom
- SG: F-43m (216)
- Polymorph energy (0 for the lowest one): 67.3 meV per atom
- Size of the total moment: 0.00 Bohr magnetons per cell
- Calculated volume: 225.4 Å³/cell

=====

Record 11
RbNaIn3: relaxed, GGA-PBE.

The structure in extended XYZ format:
```
5
Lattice="5.7806 0.0000 0.0000 0.0000 5.7806 0.0000 0.0000 0.0000 5.7806" Properties=species:S:1:pos:R:3 pbc="T T T"
Rb 0.0000 0.0000 0.0000
Na 2.8903 2.8903 2.8903
In 0.0000 2.8903 2.8903
In 2.8903 0.0000 2.8903
In 2.8903 2.8903 0.0000
```

- Energy relative to the elements: 0.258 eV per atom
- SG: Pm-3m (221)
- Polymorph energy (0 for the lowest one): 0.0 meV per atom
- Size of the total moment: 0.00 Bohr magnetons per cell
- Calculated volume: 193.2 Å³/cell

=====

Record 12
Rb2NaIn2: relaxed, GGA-PBE.

The structure in extended XYZ format:
```
10
Lattice="5.4487 0.0000 0.0000 0.0000 5.4487 0.0000 0.0000 0.0000 16.2991" Properties=species:S:1:pos:R:3 pbc="T T T"
Rb 0.0000 2.7244 4.0748
Rb 0.0000 2.7244 12.2243
Rb 2.7244 0.0000 4.0748
Rb 2.7244 0.0000 12.2243
Na 0.0000 0.0000 0.0000
Na 2.7244 2.7244 8.1495
In 0.0000 0.0000 6.7437
In 0.0000 0.0000 9.5554
In 2.7244 2.7244 1.4059
In 2.7244 2.7244 14.8932
```

- Energy relative to the elements: 0.158 eV per atom
- SG: I4/mmm (139)
- Polymorph energy (0 for the lowest one): 134.2 meV per atom
- Size of the total moment: 0.00 Bohr magnetons per cell
- Calculated volume: 483.9 Å³/cell